No. 1
VASP calculation (PBE) on Sc3Rh after structural relaxation.

Energy relative to the elements = -0.377 eV per atom
Space group = P6_3/mmc
Theoretical density = 4.9 g cm⁻³
N(E_F) = 13.07 states/eV per cell
Raw total energy = -6.964 eV per atom

a = 6.323 Å, b = 6.323 Å, c = 4.628 Å
α = 90.00°, β = 90.00°, γ = 120.00°
Fractional positions:
Sc (0.176, 0.353, 0.250)
Sc (0.176, 0.824, 0.250)
Sc (0.353, 0.176, 0.750)
Sc (0.647, 0.824, 0.250)
Sc (0.824, 0.176, 0.750)
Sc (0.824, 0.647, 0.750)
Rh (0.333, 0.667, 0.750)
Rh (0.667, 0.333, 0.250)

***

No. 2
VASP calculation (PBE) on ScRh5 after structural relaxation.

Energy relative to the elements = -0.313 eV per atom
Space group = Cm
Theoretical density = 10.4 g cm⁻³
N(E_F) = 7.07 states/eV per cell
Raw total energy = -7.495 eV per atom

a = 5.177 Å, b = 5.177 Å, c = 6.621 Å
α = 104.22°, β = 104.22°, γ = 31.34°
Fractional positions:
Sc (0.000, 0.000, 0.000)
Rh (0.276, 0.276, 0.050)
Rh (0.338, 0.338, 0.668)
Rh (0.617, 0.617, 0.718)
Rh (0.666, 0.666, 0.329)
Rh (0.945, 0.945, 0.393)

***

No. 3
VASP calculation (PBE) on Sc5Rh3 after structural relaxation.

Relative energy among the computed polymorphs = 0 meV per atom
Energy relative to the elements = -0.774 eV per atom
Space group = P4/ncc
Theoretical density = 5.7 g cm⁻³
N(E_F) = 26.05 states/eV per cell
Raw total energy = -7.488 eV per atom

a = 10.272 Å, b = 10.272 Å, c = 5.880 Å
α = 90.00°, β = 90.00°, γ = 90.00°
Fractional positions:
Sc (0.039, 0.165, 0.139)
Sc (0.039, 0.335, 0.639)
Sc (0.165, 0.039, 0.639)
Sc (0.165, 0.461, 0.139)
Sc (0.250, 0.750, 0.000)
Sc (0.250, 0.750, 0.500)
Sc (0.335, 0.039, 0.139)
Sc (0.335, 0.461, 0.639)
Sc (0.461, 0.165, 0.639)
Sc (0.461, 0.335, 0.139)
Sc (0.539, 0.665, 0.861)
Sc (0.539, 0.835, 0.361)
Sc (0.665, 0.539, 0.361)
Sc (0.665, 0.961, 0.861)
Sc (0.750, 0.250, 0.000)
Sc (0.750, 0.250, 0.500)
Sc (0.835, 0.539, 0.861)
Sc (0.835, 0.961, 0.361)
Sc (0.961, 0.665, 0.361)
Sc (0.961, 0.835, 0.861)
Rh (0.094, 0.594, 0.750)
Rh (0.094, 0.906, 0.250)
Rh (0.250, 0.250, 0.386)
Rh (0.250, 0.250, 0.886)
Rh (0.406, 0.594, 0.250)
Rh (0.406, 0.906, 0.750)
Rh (0.594, 0.094, 0.250)
Rh (0.594, 0.406, 0.750)
Rh (0.750, 0.750, 0.114)
Rh (0.750, 0.750, 0.614)
Rh (0.906, 0.094, 0.750)
Rh (0.906, 0.406, 0.250)

***

No. 4
VASP calculation (PBE) on ScRhSe2 after structural relaxation.

Relative energy among the computed polymorphs = 297 meV per atom
Space group = Fm-3m
Theoretical density = 7.2 g cm⁻³
Uncorrected formation energy = -2.72 eV/f.u.
N(E_F) = 5.09 states/eV per cell
Raw total energy = -5.844 eV per atom

a = 4.640 Å, b = 4.640 Å, c = 4.640 Å
α = 60.00°, β = 60.00°, γ = 60.00°
Fractional positions:
Sc (0.000, 0.000, 0.000)
Rh (0.500, 0.500, 0.500)
Se (0.250, 0.250, 0.250)
Se (0.750, 0.750, 0.750)

***

No. 5
VASP calculation (PBE) on ScRhSe2 after structural relaxation.

Relative energy among the computed polymorphs = 0 meV per atom
Space group = P4mm
Theoretical density = 6.8 g cm⁻³
Uncorrected formation energy = -3.91 eV/f.u.
N(E_F) = 2.72 states/eV per cell
Raw total energy = -6.141 eV per atom

a = 3.673 Å, b = 3.673 Å, c = 5.531 Å
α = 90.00°, β = 90.00°, γ = 90.00°
Fractional positions:
Sc (0.000, 0.000, 0.000)
Rh (0.500, 0.500, 0.639)
Se (0.000, 0.000, 0.539)
Se (0.500, 0.500, 0.125)

***

No. 6
VASP calculation (PBE) on ScRhSe3 after structural relaxation.

Relative energy among the computed polymorphs = 0 meV per atom
Space group = Pm-3m
Theoretical density = 5.6 g cm⁻³
Uncorrected formation energy = -0.99 eV/f.u.
N(E_F) = 5.11 states/eV per cell
Raw total energy = -5.025 eV per atom

a = 4.862 Å, b = 4.862 Å, c = 4.862 Å
α = 90.00°, β = 90.00°, γ = 90.00°
Fractional positions:
Sc (0.000, 0.000, 0.000)
Rh (0.500, 0.500, 0.500)
Se (0.000, 0.500, 0.500)
Se (0.500, 0.000, 0.500)
Se (0.500, 0.500, 0.000)

***

No. 7
VASP calculation (PBE) on ScRhSe2 after structural relaxation.

Relative energy among the computed polymorphs = 172 meV per atom
Space group = C2/m
Theoretical density = 6.6 g cm⁻³
Uncorrected formation energy = -3.22 eV/f.u.
N(E_F) = 3.80 states/eV per cell
Raw total energy = -5.969 eV per atom

a = 3.960 Å, b = 3.960 Å, c = 6.062 Å
α = 108.98°, β = 108.98°, γ = 60.09°
Fractional positions:
Sc (0.000, 0.000, 0.000)
Rh (0.500, 0.500, 0.500)
Se (0.246, 0.246, 0.736)
Se (0.754, 0.754, 0.264)

***

No. 8
VASP calculation (PBE) on ScRhSe2 after structural relaxation.

Relative energy among the computed polymorphs = 404 meV per atom
Space group = Cmmm
Theoretical density = 6.7 g cm⁻³
Uncorrected formation energy = -2.29 eV/f.u.
N(E_F) = 3.17 states/eV per cell
Raw total energy = -5.736 eV per atom

a = 3.486 Å, b = 3.486 Å, c = 6.693 Å
α = 90.00°, β = 90.00°, γ = 110.91°
Fractional positions:
Sc (0.000, 0.000, 0.000)
Rh (0.000, 0.000, 0.500)
Se (0.500, 0.500, 0.263)
Se (0.500, 0.500, 0.737)

***

No. 9
VASP calculation (PBE) on ScRhSe2 after structural relaxation.

Relative energy among the computed polymorphs = 64 meV per atom
Space group = Amm2
Theoretical density = 6.8 g cm⁻³
Uncorrected formation energy = -3.66 eV/f.u.
N(E_F) = 1.77 states/eV per cell
Raw total energy = -6.077 eV per atom

a = 3.921 Å, b = 5.559 Å, c = 5.559 Å
α = 38.02°, β = 90.00°, γ = 90.00°
Fractional positions:
Sc (0.000, 0.000, 0.000)
Rh (0.500, 0.191, 0.191)
Se (0.000, 0.710, 0.710)
Se (0.500, 0.430, 0.430)

***

No. 10
VASP calculation (PBE) on ScRhSe2 after structural relaxation.

Relative energy among the computed polymorphs = 186 meV per atom
Space group = R3m
Theoretical density = 5.2 g cm⁻³
Uncorrected formation energy = -3.17 eV/f.u.
N(E_F) = 2.33 states/eV per cell
Raw total energy = -5.955 eV per atom

a = 7.634 Å, b = 7.634 Å, c = 7.634 Å
α = 29.85°, β = 29.85°, γ = 29.85°
Fractional positions:
Sc (0.000, 0.000, 0.000)
Rh (0.240, 0.240, 0.240)
Se (0.545, 0.545, 0.545)
Se (0.728, 0.728, 0.728)

***

No. 11
VASP calculation (PBE) on ScRhSe after structural relaxation.

Space group = P4_2/m
Theoretical density = 5.8 g cm⁻³
Uncorrected formation energy = -1.98 eV/f.u.
N(E_F) = 7.70 states/eV per cell
Raw total energy = -6.384 eV per atom

a = 7.605 Å, b = 7.605 Å, c = 4.473 Å
α = 90.00°, β = 90.00°, γ = 90.00°
Fractional positions:
Sc (0.117, 0.691, 0.000)
Sc (0.309, 0.117, 0.500)
Sc (0.691, 0.883, 0.500)
Sc (0.883, 0.309, 0.000)
Rh (0.216, 0.336, 0.000)
Rh (0.336, 0.784, 0.500)
Rh (0.664, 0.216, 0.500)
Rh (0.784, 0.664, 0.000)
Se (0.210, 0.471, 0.500)
Se (0.471, 0.790, 0.000)
Se (0.529, 0.210, 0.000)
Se (0.790, 0.529, 0.500)

***

No. 12
VASP calculation (PBE) on ScRhSe2 after structural relaxation.

Relative energy among the computed polymorphs = 245 meV per atom
Space group = I-42d
Theoretical density = 5.6 g cm⁻³
Uncorrected formation energy = -2.93 eV/f.u.
N(E_F) = 4.92 states/eV per cell
Raw total energy = -5.896 eV per atom

a = 8.110 Å, b = 8.110 Å, c = 8.110 Å
α = 144.31°, β = 144.31°, γ = 51.37°
Fractional positions:
Sc (0.000, 0.000, 0.000)
Sc (0.750, 0.250, 0.500)
Rh (0.250, 0.750, 0.500)
Rh (0.500, 0.500, 0.000)
Se (0.157, 0.625, 0.032)
Se (0.375, 0.407, 0.532)
Se (0.593, 0.125, 0.968)
Se (0.875, 0.843, 0.468)

***

No. 13
VASP calculation (PBE) on ScRhSe4 after structural relaxation.

Space group = F-43m
Theoretical density = 6.4 g cm⁻³
Uncorrected formation energy = 2.43 eV/f.u.
N(E_F) = 3.79 states/eV per cell
Raw total energy = -4.199 eV per atom

a = 5.549 Å, b = 5.549 Å, c = 5.549 Å
α = 60.00°, β = 60.00°, γ = 60.00°
Fractional positions:
Sc (0.000, 0.000, 0.000)
Rh (0.250, 0.250, 0.250)
Se (0.128, 0.624, 0.624)
Se (0.624, 0.128, 0.624)
Se (0.624, 0.624, 0.128)
Se (0.624, 0.624, 0.624)

***

No. 14
VASP calculation (PBE) on ScRhSe2 after structural relaxation.

Relative energy among the computed polymorphs = 666 meV per atom
Space group = F-43m
Theoretical density = 7.0 g cm⁻³
Uncorrected formation energy = -1.25 eV/f.u.
N(E_F) = 5.52 states/eV per cell
Raw total energy = -5.475 eV per atom

a = 4.681 Å, b = 4.681 Å, c = 4.681 Å
α = 60.00°, β = 60.00°, γ = 60.00°
Fractional positions:
Sc (0.000, 0.000, 0.000)
Rh (0.250, 0.250, 0.250)
Se (0.500, 0.500, 0.500)
Se (0.750, 0.750, 0.750)

***

No. 15
VASP calculation (PBE) on ScRhSe after structural relaxation.

Space group = I4mm
Theoretical density = 7.1 g cm⁻³
Uncorrected formation energy = -2.48 eV/f.u.
N(E_F) = 1.13 states/eV per cell
Raw total energy = -6.549 eV per atom

a = 4.936 Å, b = 4.936 Å, c = 4.936 Å
α = 137.93°, β = 137.93°, γ = 61.01°
Fractional positions:
Sc (0.000, 0.000, 0.000)
Rh (0.361, 0.361, 0.000)
Se (0.660, 0.660, 0.000)

***

No. 16
VASP calculation (PBE) on Sc4RhSe after structural relaxation.

Space group = F-43m
Theoretical density = 4.8 g cm⁻³
Uncorrected formation energy = 1.15 eV/f.u.
N(E_F) = 7.97 states/eV per cell
Raw total energy = -5.835 eV per atom

a = 5.614 Å, b = 5.614 Å, c = 5.614 Å
α = 60.00°, β = 60.00°, γ = 60.00°
Fractional positions:
Sc (0.124, 0.124, 0.124)
Sc (0.124, 0.124, 0.627)
Sc (0.124, 0.627, 0.124)
Sc (0.627, 0.124, 0.124)
Rh (0.750, 0.750, 0.750)
Se (0.500, 0.500, 0.500)

***

No. 17
VASP calculation (PBE) on ScRhSe3 after structural relaxation.

Relative energy among the computed polymorphs = 365 meV per atom
Space group = Pm-3m
Theoretical density = 4.9 g cm⁻³
Uncorrected formation energy = 0.84 eV/f.u.
N(E_F) = 11.48 states/eV per cell
Raw total energy = -4.660 eV per atom

a = 5.075 Å, b = 5.075 Å, c = 5.075 Å
α = 90.00°, β = 90.00°, γ = 90.00°
Fractional positions:
Sc (0.000, 0.000, 0.000)
Rh (0.500, 0.500, 0.500)
Se (0.000, 0.000, 0.500)
Se (0.000, 0.500, 0.000)
Se (0.500, 0.000, 0.000)

***

No. 18
VASP calculation (PBE) on ScRhSe2 after structural relaxation.

Relative energy among the computed polymorphs = 148 meV per atom
Space group = P4/mmm
Theoretical density = 7.4 g cm⁻³
Uncorrected formation energy = -3.32 eV/f.u.
N(E_F) = 1.80 states/eV per cell
Raw total energy = -5.993 eV per atom

a = 4.550 Å, b = 4.550 Å, c = 3.315 Å
α = 90.00°, β = 90.00°, γ = 90.00°
Fractional positions:
Sc (0.000, 0.000, 0.000)
Rh (0.500, 0.500, 0.000)
Se (0.000, 0.500, 0.500)
Se (0.500, 0.000, 0.500)

***

No. 19
VASP calculation (PBE) on ScRhSe2 after structural relaxation.

Relative energy among the computed polymorphs = 359 meV per atom
Space group = Cmmm
Theoretical density = 6.5 g cm⁻³
Uncorrected formation energy = -2.47 eV/f.u.
N(E_F) = 2.10 states/eV per cell
Raw total energy = -5.781 eV per atom

a = 4.519 Å, b = 4.519 Å, c = 3.929 Å
α = 90.00°, β = 90.00°, γ = 101.31°
Fractional positions:
Sc (0.000, 0.000, 0.000)
Rh (0.500, 0.500, 0.000)
Se (0.271, 0.729, 0.500)
Se (0.729, 0.271, 0.500)

***

No. 20
VASP calculation (PBE) on ScRhSe2 after structural relaxation.

Relative energy among the computed polymorphs = 59 meV per atom
Space group = Imm2
Theoretical density = 6.4 g cm⁻³
Uncorrected formation energy = -3.68 eV/f.u.
N(E_F) = 1.58 states/eV per cell
Raw total energy = -6.082 eV per atom

a = 6.923 Å, b = 6.923 Å, c = 6.923 Å
α = 151.05°, β = 150.47°, γ = 41.83°
Fractional positions:
Sc (0.000, 0.000, 0.000)
Rh (0.204, 0.704, 0.500)
Se (0.411, 0.411, 0.000)
Se (0.659, 0.159, 0.500)

***

No. 21
VASP calculation (PBE) on ScRhSe2 after structural relaxation.

Relative energy among the computed polymorphs = 406 meV per atom
Space group = R-3m
Theoretical density = 5.4 g cm⁻³
Uncorrected formation energy = -2.29 eV/f.u.
N(E_F) = 3.71 states/eV per cell
Raw total energy = -5.735 eV per atom

a = 8.288 Å, b = 8.288 Å, c = 8.288 Å
α = 25.55°, β = 25.55°, γ = 25.55°
Fractional positions:
Sc (0.000, 0.000, 0.000)
Rh (0.500, 0.500, 0.500)
Se (0.401, 0.401, 0.401)
Se (0.599, 0.599, 0.599)

***

No. 22
VASP calculation (PBE) on ScRhSe after structural relaxation.

Space group = P3m1
Theoretical density = 7.1 g cm⁻³
Uncorrected formation energy = -2.96 eV/f.u.
N(E_F) = 0.70 states/eV per cell
Raw total energy = -6.708 eV per atom

a = 4.222 Å, b = 4.222 Å, c = 3.420 Å
α = 90.00°, β = 90.00°, γ = 120.00°
Fractional positions:
Sc (0.000, 0.000, 0.000)
Rh (0.667, 0.333, 0.529)
Se (0.333, 0.667, 0.475)

***

No. 23
VASP calculation (PBE) on ScTiRh2Se after structural relaxation.

Space group = P4/mmm
Theoretical density = 6.2 g cm⁻³
Uncorrected formation energy = 0.89 eV/f.u.
N(E_F) = 7.19 states/eV per cell
Raw total energy = -6.304 eV per atom

a = 4.591 Å, b = 4.591 Å, c = 4.769 Å
α = 90.00°, β = 90.00°, γ = 90.00°
Fractional positions:
Sc (0.000, 0.000, 0.000)
Ti (0.500, 0.500, 0.000)
Rh (0.000, 0.500, 0.500)
Rh (0.500, 0.000, 0.500)
Se (0.000, 0.000, 0.500)

***

No. 24
VASP calculation (PBE) on ScV2RhSe after structural relaxation.

Space group = P4/mmm
Theoretical density = 5.7 g cm⁻³
Uncorrected formation energy = 1.96 eV/f.u.
N(E_F) = 6.97 states/eV per cell
Raw total energy = -6.690 eV per atom

a = 4.440 Å, b = 4.440 Å, c = 4.880 Å
α = 90.00°, β = 90.00°, γ = 90.00°
Fractional positions:
Sc (0.000, 0.000, 0.000)
V (0.000, 0.500, 0.500)
V (0.500, 0.000, 0.500)
Rh (0.500, 0.500, 0.000)
Se (0.000, 0.000, 0.500)

***

No. 25
VASP calculation (PBE) on ScSiRh after structural relaxation.

Space group = P2_1/m
Theoretical density = 6.0 g cm⁻³
Uncorrected formation energy = -3.18 eV/f.u.
N(E_F) = 8.96 states/eV per cell
Raw total energy = -7.427 eV per atom

a = 6.577 Å, b = 3.923 Å, c = 11.272 Å
α = 90.00°, β = 90.16°, γ = 90.00°
Fractional positions:
Sc (0.000, 0.250, 0.205)
Sc (0.000, 0.750, 0.795)
Sc (0.333, 0.250, 0.422)
Sc (0.485, 0.250, 0.129)
Sc (0.515, 0.750, 0.871)
Sc (0.667, 0.750, 0.578)
Si (0.214, 0.250, 0.921)
Si (0.223, 0.750, 0.594)
Si (0.283, 0.750, 0.249)
Si (0.717, 0.250, 0.751)
Si (0.777, 0.250, 0.406)
Si (0.786, 0.750, 0.079)
Rh (0.030, 0.750, 0.409)
Rh (0.158, 0.750, 0.038)
Rh (0.348, 0.250, 0.706)
Rh (0.652, 0.750, 0.294)
Rh (0.842, 0.250, 0.962)
Rh (0.970, 0.250, 0.591)

***

No. 26
VASP calculation (PBE) on Sc2SiRh2 after structural relaxation.

Space group = P4/mbm
Theoretical density = 6.1 g cm⁻³
Uncorrected formation energy = -2.06 eV/f.u.
N(E_F) = 5.61 states/eV per cell
Raw total energy = -6.971 eV per atom

a = 7.555 Å, b = 7.555 Å, c = 3.102 Å
α = 90.00°, β = 90.00°, γ = 90.00°
Fractional positions:
Sc (0.154, 0.346, 0.000)
Sc (0.346, 0.846, 0.000)
Sc (0.654, 0.154, 0.000)
Sc (0.846, 0.654, 0.000)
Si (0.000, 0.000, 0.000)
Si (0.500, 0.500, 0.000)
Rh (0.143, 0.643, 0.500)
Rh (0.357, 0.143, 0.500)
Rh (0.643, 0.857, 0.500)
Rh (0.857, 0.357, 0.500)